SrFe4Pt: optimized geometry, PBE.

Structure (POSCAR):
```
SrFe4Pt
1.0
0.000 3.610 3.610
3.610 0.000 3.610
3.610 3.610 0.000
Sr Fe Pt
1 4 1
direct
0.000 0.000 0.000
0.126 0.625 0.625
0.625 0.126 0.625
0.625 0.625 0.126
0.625 0.625 0.625
0.250 0.250 0.250
```

Properties
* ΔH_f (0 K): 1.32 eV/f.u.
* calculated density: 8932 kg/m³
* VASP energy: -6.709 eV/atom
* magnetic moment: 1.8321 μB/atom
* N(E_F): 5.2 states/eV per cell